[1]
First-principles (PBE) data for a relaxed structure of Mg4TaAg, as listed in Alexandria via LeMat-Bulk.

Lattice parameters (Å, degrees): 5.5689 5.5689 5.5689 60.00 60.00 60.00
Site moments in Bohr magnetons follow the coordinates.
Sites, in units of the cell vectors:
Mg (0.8728, 0.3757, 0.3757)  0.01
Mg (0.3757, 0.3757, 0.8728)  0.01
Mg (0.3757, 0.8728, 0.3757)  0.01
Mg (0.3757, 0.3757, 0.3757)  0.01
Ta (0.7500, 0.7500, 0.7500)  1.09
Ag (0.0000, 0.0000, 0.0000)  0.02

Space-group type: No. 216
Total DFT energy (no corrections): -2.979 eV per atom
Volume: 20.35 A^3/atom
Energy of formation: 0.534 eV/atom
Spin magnetization: 0.317 μB/atom

[2]
First-principles (PBE) data for a relaxed structure of MgTaAg2, as listed in Alexandria via LeMat-Bulk.

Lattice parameters (Å, degrees): 2.8285 2.8285 9.4798 90.00 90.00 107.88
Sites, in units of the cell vectors:
Ag (0.0000, 0.0000, 0.0038)
Ag (0.0000, 0.0000, 0.4962)
Mg (0.5000, 0.5000, 0.2500)
Ta (0.5000, 0.5000, 0.7500)

Space-group type: No. 65
Total DFT energy (no corrections): -4.633 eV per atom
Volume: 18.04 A^3/atom
Energy of formation: 0.155 eV/atom
Spin magnetization: 0.000 μB/atom